Below is a relaxed structure of YZrCd2Cu4, with properties calculated at the PBE level.

Values from the calculation:
**Formation enthalpy at 0 K**: -0.187 eV per atom
**Total magnetic moment**: 0.04 μB per formula unit

abc: 4.6217 4.6217 6.4592
angles: 90.00 90.00 90.00
Fractional coordinates of all 8 atoms:
1 Cu 0.5000 0.0000 0.2324
2 Cd 0.5000 0.5000 0.0000
3 Y 0.5000 0.5000 0.5000
4 Cu 0.0000 0.5000 0.7676
5 Cu 0.0000 0.5000 0.2324
6 Zr 0.0000 0.0000 0.0000
7 Cu 0.5000 0.0000 0.7676
8 Cd 0.0000 0.0000 0.5000

Below is a relaxed structure of Zr2CdCu, with properties calculated at the PBE level.

Values from the calculation:
**Formation enthalpy at 0 K**: -0.105 eV per atom
**Total magnetic moment**: 0.01 μB per formula unit

abc: 3.1589 3.1589 7.9329
angles: 90.00 90.00 90.00
Fractional coordinates of all 4 atoms:
1 Cu 0.0000 0.0000 0.6216
2 Cd 0.5000 0.5000 0.4135
3 Zr 0.5000 0.5000 0.8435
4 Zr 0.0000 0.0000 0.1214